[1]
PrAg2: optimized geometry, PBE-GGA.

Geometry as POSCAR:
```
PrAg2
1.0
0.000 4.082 4.082
4.082 0.000 4.082
4.082 4.082 0.000
Pr Ag
2 4
Cartesian
1.021 1.021 1.021 Pr
7.144 7.144 7.144 Pr
4.082 2.041 2.041 Ag
2.041 4.082 2.041 Ag
2.041 2.041 4.082 Ag
4.082 4.082 4.082 Ag
```

Values from the calculation:
Volume   22.67 A^3/atom
Crystal system   cubic
E_form   -0.158 eV per atom



[2]
PrAg: optimized geometry, PBE-GGA.

Geometry as POSCAR:
```
PrAg
1.0
3.760 0.000 0.000
0.000 3.760 0.000
0.000 0.000 3.760
Pr Ag
1 1
Cartesian
0.000 0.000 0.000 Pr
1.880 1.880 1.880 Ag
```

Values from the calculation:
Volume   26.58 A^3/atom
Crystal system   cubic
E_form   -0.256 eV per atom



[3]
Pr3Ag2: optimized geometry, PBE-GGA.

Geometry as POSCAR:
```
Pr3Ag2
1.0
4.678 2.701 5.743
-4.678 2.701 5.743
0.000 -5.402 5.743
Pr Ag
9 6
Cartesian
0.000 0.000 0.000 Pr
-2.178 0.003 7.016 Pr
0.000 0.000 3.771 Pr
-1.092 -1.885 10.214 Pr
1.086 -1.888 7.016 Pr
-1.086 1.888 10.214 Pr
1.092 1.885 7.016 Pr
0.000 0.000 13.459 Pr
2.178 -0.003 10.214 Pr
-1.662 -3.378 7.494 Ag
-3.757 -0.250 9.737 Ag
-2.095 3.128 7.494 Ag
2.095 -3.128 9.737 Ag
3.757 0.250 7.494 Ag
1.662 3.378 9.737 Ag
```

Values from the calculation:
Volume   29.02 A^3/atom
Relative energy among the computed polymorphs   0.034 eV per atom
Crystal system   trigonal
E_form   -0.151 eV per atom



[4]
PrAg: optimized geometry, PBE-GGA.

Geometry as POSCAR:
```
PrAg
1.0
0.000 3.108 3.108
3.108 0.000 3.108
3.108 3.108 0.000
Pr Ag
1 1
Cartesian
0.000 0.000 0.000 Pr
3.108 3.108 3.108 Ag
```

Values from the calculation:
Volume   30.02 A^3/atom
Crystal system   cubic
E_form   -0.020 eV per atom



[5]
PrAg: optimized geometry, PBE-GGA.

Geometry as POSCAR:
```
PrAg
1.0
0.000 3.369 3.369
3.369 0.000 3.369
3.369 3.369 0.000
Pr Ag
1 1
Cartesian
0.000 0.000 0.000 Pr
1.685 1.685 1.685 Ag
```

Values from the calculation:
Volume   38.24 A^3/atom
Crystal system   cubic
E_form   0.442 eV per atom



[6]
Pr3Ag2: optimized geometry, PBE-GGA.

Geometry as POSCAR:
```
Pr3Ag2
1.0
8.672 0.000 0.000
0.000 8.672 0.000
0.000 0.000 7.651
Pr Ag
12 8
Cartesian
0.000 4.336 1.913 Pr
0.000 4.336 5.738 Pr
1.366 1.366 0.000 Pr
1.646 1.646 3.825 Pr
2.690 5.981 0.000 Pr
2.970 5.701 3.825 Pr
4.336 0.000 1.913 Pr
4.336 0.000 5.738 Pr
5.701 2.970 3.825 Pr
5.981 2.690 0.000 Pr
7.026 7.026 3.825 Pr
7.306 7.306 0.000 Pr
1.052 7.619 2.198 Ag
1.052 7.619 5.452 Ag
3.284 3.284 1.627 Ag
3.284 3.284 6.023 Ag
5.388 5.388 1.627 Ag
5.388 5.388 6.023 Ag
7.619 1.052 2.198 Ag
7.619 1.052 5.452 Ag
```

Values from the calculation:
Volume   28.76 A^3/atom
Relative energy among the computed polymorphs   0.000 eV per atom
Crystal system   tetragonal
E_form   -0.184 eV per atom



[7]
PrAg: optimized geometry, PBE-GGA.

Geometry as POSCAR:
```
PrAg
1.0
3.469 0.000 0.000
-1.735 3.004 0.000
0.000 0.000 5.066
Pr Ag
1 1
Cartesian
0.000 0.000 0.000 Pr
0.000 2.003 2.533 Ag
```

Values from the calculation:
Volume   26.40 A^3/atom
Crystal system   hexagonal
E_form   -0.009 eV per atom



[8]
PrAg5: optimized geometry, PBE-GGA.

Geometry as POSCAR:
```
PrAg5
1.0
5.579 0.000 0.000
-2.790 4.832 0.000
0.000 0.000 4.676
Pr Ag
1 5
Cartesian
0.000 0.000 0.000 Pr
-1.395 2.416 2.338 Ag
0.000 3.221 0.000 Ag
2.790 0.000 2.338 Ag
1.395 2.416 2.338 Ag
2.790 1.611 0.000 Ag
```

Values from the calculation:
Volume   21.01 A^3/atom
Crystal system   hexagonal
E_form   -0.143 eV per atom